# 1
# TcTeIF2 PBE relaxed
data_TcTeIF2
_chemical_formula_sum 'Tc1 Te1 I1 F2'
_cell_length_a 4.307
_cell_length_b 6.256
_cell_length_c 4.307
_cell_angle_alpha 90.00
_cell_angle_beta 90.00
_cell_angle_gamma 90.00
_symmetry_space_group_name_H-M 'P 1'
_symmetry_Int_Tables_number 1
loop_
_symmetry_equiv_pos_as_xyz
'x,y,z'
loop_
_atom_site_label
_atom_site_type_symbol
_atom_site_fract_x
_atom_site_fract_y
_atom_site_fract_z
_atom_site_occupancy
I1 I 0.000 0.500 0.000 1
F1 F 0.500 0.000 0.000 1
F2 F 0.000 0.000 0.500 1
Te1 Te 0.500 0.500 0.500 1
Tc1 Tc 0.000 0.000 0.000 1
# **Size of the total moment**: 0.76 μB/atom
# **E_form (uncorrected)**: -0.53 eV per atom
# **Crystal system**: tetragonal
# **Symmetry**: P4/mmm

***

# 2
# TcTe2IF PBE relaxed
data_TcTe2IF
_chemical_formula_sum 'Tc1 Te2 I1 F1'
_cell_length_a 5.120
_cell_length_b 5.120
_cell_length_c 5.568
_cell_angle_alpha 90.00
_cell_angle_beta 90.00
_cell_angle_gamma 90.00
_symmetry_space_group_name_H-M 'P 1'
_symmetry_Int_Tables_number 1
loop_
_symmetry_equiv_pos_as_xyz
'x,y,z'
loop_
_atom_site_label
_atom_site_type_symbol
_atom_site_fract_x
_atom_site_fract_y
_atom_site_fract_z
_atom_site_occupancy
Te1 Te 0.500 0.000 0.000 1
Tc1 Tc 0.000 0.000 0.000 1
I1 I 0.000 0.000 0.500 1
Te2 Te 0.000 0.500 0.000 1
F1 F 0.500 0.500 0.500 1
# **Size of the total moment**: 0.00 μB/atom
# **E_form (uncorrected)**: 0.20 eV per atom
# **Energy above the most stable polymorph in this dataset**: 0.000 eV/atom
# **Crystal system**: tetragonal
# **Symmetry**: P4/mmm